[1]
A plane-wave DFT calculation with GGA-PBE was carried out for a geometry-optimized NdThPd6 structure.

CIF file:
```
data_NdThPd6
_chemical_formula_sum 'Nd1 Th1 Pd6'
_symmetry_space_group_name_H-M 'P 4/m m m'
_symmetry_Int_Tables_number 123
_symmetry_space_group_name_Hall '-P 4 2'
_cell_length_a 4.2066
_cell_length_b 4.2066
_cell_length_c 8.4085
_cell_angle_alpha 90.00
_cell_angle_beta 90.00
_cell_angle_gamma 90.00
loop_
_atom_site_label
_atom_site_type_symbol
_atom_site_fract_x
_atom_site_fract_y
_atom_site_fract_z
Nd1 Nd 0.0000 0.0000 0.0000
Th1 Th 0.0000 0.0000 0.5000
Pd1 Pd 0.0000 0.5000 0.2541
Pd2 Pd 0.5000 0.5000 0.0000
Pd3 Pd 0.5000 0.5000 0.5000
```

## Properties
The total energy is -6.324 eV/atom. Its density of states at the Fermi level is 0.287 states/eV/atom. Its energy of formation is -906 meV per atom. Its total magnetization is 0.0 μB per cell.



[2]
A plane-wave DFT calculation with GGA-PBE was carried out for a geometry-optimized NdTh2Pd structure.

CIF file:
```
data_NdTh2Pd
_chemical_formula_sum 'Nd3 Th6 Pd3'
_symmetry_space_group_name_H-M 'R 3 m'
_symmetry_Int_Tables_number 160
_symmetry_space_group_name_Hall 'R 3 -2"'
_cell_length_a 3.7607
_cell_length_b 3.7607
_cell_length_c 29.6794
_cell_angle_alpha 90.00
_cell_angle_beta 90.00
_cell_angle_gamma 120.00
loop_
_atom_site_label
_atom_site_type_symbol
_atom_site_fract_x
_atom_site_fract_y
_atom_site_fract_z
Nd1 Nd 0.0000 0.0000 0.0000
Th1 Th 0.0000 0.0000 0.2335
Th2 Th 0.0000 0.0000 0.4303
Pd1 Pd 0.0000 0.0000 0.8303
```

## Properties
The total energy is -6.384 eV/atom. Its density of states at the Fermi level is 1.673 states/eV/atom. As for the excess energy over the best structure of this formula in the dataset: 0.184 eV/atom. Its energy of formation is -184 meV per atom. Its total magnetization is 0.0 μB per cell.



[3]
A plane-wave DFT calculation with GGA-PBE was carried out for a geometry-optimized Nd2ThPd3 structure.

CIF file:
```
data_Nd2ThPd3
_chemical_formula_sum 'Nd8 Th4 Pd12'
_symmetry_space_group_name_H-M 'C 1 2/c 1'
_symmetry_Int_Tables_number 15
_cell_length_a 13.3972
_cell_length_b 5.9526
_cell_length_c 8.3502
_cell_angle_alpha 90.00
_cell_angle_beta 108.05
_cell_angle_gamma 90.00
loop_
_symmetry_equiv_pos_as_xyz
'x,y,z'
'-x,-y,-z'
'-x,y,-z+1/2'
'x,-y,z+1/2'
'x+1/2,y+1/2,z'
'-x+1/2,-y+1/2,-z'
'-x+1/2,y+1/2,-z+1/2'
'x+1/2,-y+1/2,z+1/2'
loop_
_atom_site_label
_atom_site_type_symbol
_atom_site_fract_x
_atom_site_fract_y
_atom_site_fract_z
Nd1 Nd 0.1666 0.0006 0.0832
Th1 Th 0.0000 0.4993 0.2500
Pd1 Pd 0.0000 0.0008 0.7500
Pd2 Pd 0.1605 0.4994 0.5804
```

## Properties
The total energy is -6.115 eV/atom. Its density of states at the Fermi level is 0.365 states/eV/atom. Its energy of formation is -692 meV per atom. Its total magnetization is 0.0 μB per cell.



Question: Which value of energy of formation does entry 2 give?
Answer: -184 meV per atom